No. 1
Below is a geometry-optimized LaSe2Br structure, with properties calculated at the PBEsol level.

Uncorrected formation energy (meV per atom): -1094
ΔE to the lowest computed polymorph (kcal/mol of atoms): 0.000
Total magnetic moment (μB per cell): 0.000
N(E_F) (states/eV per atom): 0.25
Space group: Pm

a = 4.8973 Å, b = 5.7333 Å, c = 4.9576 Å
α = 90.00°, β = 115.70°, γ = 90.00°
Closest atoms and distances in Å follow each position.
Sites, in units of the cell vectors:
1 La 0.0000 0.0000 0.0000  5 Se 2.90-3.00
2 Se 0.0310 0.5000 0.1920  2 Br 2.56-2.59
3 Se 0.6510 0.0000 0.3522  3 La 2.90-2.93
4 Br 0.1923 0.5000 0.7643  2 Se 2.56-2.59


No. 2
Below is a geometry-optimized Y3Hg structure, with properties calculated at the PBEsol level.

Final energy (eV/atom): -5.455
Total magnetic moment (μB per cell): 0.001
N(E_F) (states/eV per atom): 1.03
Space group: R-3m

a = 3.5634 Å, b = 3.5634 Å, c = 31.1562 Å
α = 90.00°, β = 90.00°, γ = 120.00°
Closest atoms and distances in Å follow each position.
Sites, in units of the cell vectors:
1 Y 0.0000 0.0000 0.0000  12 Y 3.51-3.56
2 Y 0.0000 0.0000 0.2420  3 Hg 3.12
3 Y 0.0000 0.0000 0.7580  3 Hg 3.12
4 Y 0.3333 0.6667 0.4247  3 Hg 3.12
5 Y 0.3333 0.6667 0.6667  12 Y 3.51-3.56
6 Y 0.3333 0.6667 0.9086  3 Hg 3.12
7 Y 0.6667 0.3333 0.0914  3 Hg 3.12
8 Y 0.6667 0.3333 0.3333  12 Y 3.51-3.56
9 Y 0.6667 0.3333 0.5753  3 Hg 3.12
10 Hg 0.0000 0.0000 0.5000  6 Y 3.12
11 Hg 0.3333 0.6667 0.1667  6 Y 3.12
12 Hg 0.6667 0.3333 0.8333  6 Y 3.12


No. 3
Below is a geometry-optimized Lu7Te2Ru2 structure, with properties calculated at the PBEsol level.

Uncorrected formation energy (meV per atom): -722
Total magnetic moment (μB per cell): 0.000
N(E_F) (states/eV per atom): 0.75
Space group: Imm2

a = 9.0496 Å, b = 9.0496 Å, c = 9.0496 Å
α = 155.55°, β = 65.54°, γ = 120.24°
Closest atoms and distances in Å follow each position.
Sites, in units of the cell vectors:
1 Lu 0.0000 0.0000 0.0000  3 Te 3.04-3.09
2 Lu 0.2841 0.4191 0.8650  2 Ru 2.74, 1 Te 3.01
3 Lu 0.3140 0.6298 0.6842  3 Ru 2.72-3.00
4 Lu 0.5542 0.4191 0.1350  2 Ru 2.74, 1 Te 3.01
5 Lu 0.6131 0.2628 0.3504  2 Ru 2.80, 2 Te 3.11
6 Lu 0.9124 0.2628 0.6496  2 Ru 2.80, 2 Te 3.11
7 Lu 0.9457 0.6298 0.3158  3 Ru 2.72-3.00
8 Te 0.2692 0.7692 0.5000  8 Lu 3.07-3.12
9 Te 0.6629 0.6629 0.0000  7 Lu 3.01-3.11
10 Ru 0.1710 0.9347 0.2363  7 Lu 2.72-3.00
11 Ru 0.6984 0.9347 0.7637  7 Lu 2.72-3.00


No. 4
Below is a geometry-optimized Zr6Fe23 structure, with properties calculated at the PBEsol level.

Final energy (eV/atom): -9.148
Total magnetic moment (μB per cell): 22.083
N(E_F) (states/eV per atom): 1.10
Space group: Fm-3m

a = 8.0072 Å, b = 8.0072 Å, c = 8.0072 Å
α = 60.00°, β = 60.00°, γ = 60.00°
Closest atoms and distances in Å follow each position.
Sites, in units of the cell vectors:
1 Zr 0.2066 0.2066 0.7934  12 Fe 2.75-2.87
2 Zr 0.2066 0.7934 0.2066  12 Fe 2.75-2.87
3 Zr 0.2066 0.7934 0.7934  12 Fe 2.75-2.87
4 Zr 0.7934 0.2066 0.2066  12 Fe 2.75-2.87
5 Zr 0.7934 0.2066 0.7934  12 Fe 2.75-2.87
6 Zr 0.7934 0.7934 0.2066  12 Fe 2.75-2.87
7 Fe 0.0000 0.0000 0.5000  8 Fe 2.32-2.48
8 Fe 0.0000 0.5000 0.0000  8 Fe 2.32-2.48
9 Fe 0.0000 0.5000 0.5000  8 Fe 2.32-2.48
10 Fe 0.1357 0.6214 0.6214  7 Fe 2.38-2.48
11 Fe 0.1773 0.1773 0.1773  9 Fe 2.32-2.45
12 Fe 0.1773 0.1773 0.4682  9 Fe 2.32-2.45
13 Fe 0.1773 0.4682 0.1773  9 Fe 2.32-2.45
14 Fe 0.3786 0.3786 0.3786  7 Fe 2.38-2.48
15 Fe 0.3786 0.3786 0.8643  7 Fe 2.38-2.48
16 Fe 0.3786 0.8643 0.3786  7 Fe 2.38-2.48
17 Fe 0.4682 0.1773 0.1773  9 Fe 2.32-2.45
18 Fe 0.5000 0.0000 0.0000  8 Fe 2.32-2.48
19 Fe 0.5000 0.0000 0.5000  8 Fe 2.32-2.48
20 Fe 0.5000 0.5000 0.0000  8 Fe 2.32-2.48
21 Fe 0.5000 0.5000 0.5000  8 Fe 2.38
22 Fe 0.5318 0.8227 0.8227  9 Fe 2.32-2.45
23 Fe 0.6214 0.1357 0.6214  7 Fe 2.38-2.48
24 Fe 0.6214 0.6214 0.1357  7 Fe 2.38-2.48
25 Fe 0.6214 0.6214 0.6214  7 Fe 2.38-2.48
26 Fe 0.8227 0.5318 0.8227  9 Fe 2.32-2.45
27 Fe 0.8227 0.8227 0.5318  9 Fe 2.32-2.45
28 Fe 0.8227 0.8227 0.8227  9 Fe 2.32-2.45
29 Fe 0.8643 0.3786 0.3786  7 Fe 2.38-2.48


No. 5
Below is a geometry-optimized K2H4Pt structure, with properties calculated at the PBEsol level.

Final energy (eV/atom): -3.596
Total magnetic moment (μB per cell): 0.105
N(E_F) (states/eV per atom): 0.00
Space group: I4/mmm

a = 5.6133 Å, b = 5.6133 Å, c = 7.6166 Å
α = 90.00°, β = 90.00°, γ = 90.00°
Closest atoms and distances in Å follow each position.
Sites, in units of the cell vectors:
1 K 0.0000 0.5000 0.2500  8 H 2.77
2 K 0.0000 0.5000 0.7500  8 H 2.77
3 K 0.5000 0.0000 0.2500  8 H 2.77
4 K 0.5000 0.0000 0.7500  8 H 2.77
5 H 0.2082 0.2082 0.0000  1 Pt 1.65
6 H 0.2082 0.7918 0.0000  1 Pt 1.65
7 H 0.2918 0.2918 0.5000  1 Pt 1.65
8 H 0.2918 0.7082 0.5000  1 Pt 1.65
9 H 0.7082 0.2918 0.5000  1 Pt 1.65
10 H 0.7082 0.7082 0.5000  1 Pt 1.65
11 H 0.7918 0.2082 0.0000  1 Pt 1.65
12 H 0.7918 0.7918 0.0000  1 Pt 1.65
13 Pt 0.0000 0.0000 0.0000  4 H 1.65
14 Pt 0.5000 0.5000 0.5000  4 H 1.65


No. 6
Below is a geometry-optimized ScNi3Pd structure, with properties calculated at the PBEsol level.

Final energy (eV/atom): -5.185
Total magnetic moment (μB per cell): 0.000
N(E_F) (states/eV per atom): 0.71
Space group: Pm-3m

a = 4.2404 Å, b = 4.2404 Å, c = 4.2404 Å
α = 90.00°, β = 90.00°, γ = 90.00°
Closest atoms and distances in Å follow each position.
Sites, in units of the cell vectors:
1 Sc 0.0000 0.0000 0.0000  6 Ni 2.12
2 Ni 0.0000 0.0000 0.5000  2 Sc 2.12
3 Ni 0.0000 0.5000 0.0000  2 Sc 2.12
4 Ni 0.5000 0.0000 0.0000  2 Sc 2.12
5 Pd 0.5000 0.5000 0.5000  12 Ni 3.00


No. 7
Below is a geometry-optimized Cr2F5 structure, with properties calculated at the PBEsol level.

Uncorrected formation energy (meV per atom): -2399
Total magnetic moment (μB per cell): 14.000
N(E_F) (states/eV per atom): 0.10
Space group: C2/c

a = 5.3601 Å, b = 5.3601 Å, c = 7.0758 Å
α = 111.87°, β = 111.87°, γ = 86.77°
Closest atoms and distances in Å follow each position.
Sites, in units of the cell vectors:
1 Cr 0.0000 0.5000 0.0000  4 F 1.93-1.97
2 Cr 0.0000 0.5000 0.5000  6 F 1.90-1.93
3 Cr 0.5000 0.0000 0.0000  6 F 1.90-1.93
4 Cr 0.5000 0.0000 0.5000  4 F 1.93-1.97
5 F 0.0897 0.6476 0.3194  2 Cr 1.93-1.97
6 F 0.1767 0.8233 0.7500  2 Cr 1.92
7 F 0.3255 0.3295 0.5443  2 Cr 1.90-1.93
8 F 0.3295 0.3255 0.0443  2 Cr 1.90-1.93
9 F 0.3524 0.9103 0.1806  2 Cr 1.93-1.97
10 F 0.6476 0.0897 0.8194  2 Cr 1.93-1.97
11 F 0.6705 0.6745 0.9557  2 Cr 1.90-1.93
12 F 0.6745 0.6705 0.4557  2 Cr 1.90-1.93
13 F 0.8233 0.1767 0.2500  2 Cr 1.92
14 F 0.9103 0.3524 0.6806  2 Cr 1.93-1.97


No. 8
Below is a geometry-optimized Er2InAg structure, with properties calculated at the PBEsol level.

ΔE to the lowest computed polymorph (kcal/mol of atoms): 0.175
Total magnetic moment (μB per cell): 0.001
N(E_F) (states/eV per atom): 0.59
Space group: Fm-3m

a = 7.2301 Å, b = 7.2301 Å, c = 7.2301 Å
α = 90.00°, β = 90.00°, γ = 90.00°
Closest atoms and distances in Å follow each position.
Sites, in units of the cell vectors:
1 Er 0.2500 0.2500 0.2500  4 In 3.13, 4 Ag 3.13
2 Er 0.2500 0.2500 0.7500  4 In 3.13, 4 Ag 3.13
3 Er 0.2500 0.7500 0.2500  4 In 3.13, 4 Ag 3.13
4 Er 0.2500 0.7500 0.7500  4 In 3.13, 4 Ag 3.13
5 Er 0.7500 0.2500 0.2500  4 In 3.13, 4 Ag 3.13
6 Er 0.7500 0.2500 0.7500  4 In 3.13, 4 Ag 3.13
7 Er 0.7500 0.7500 0.2500  4 In 3.13, 4 Ag 3.13
8 Er 0.7500 0.7500 0.7500  4 Ag 3.13, 4 In 3.13
9 In 0.0000 0.0000 0.0000  8 Er 3.13
10 In 0.0000 0.5000 0.5000  8 Er 3.13
11 In 0.5000 0.0000 0.5000  8 Er 3.13
12 In 0.5000 0.5000 0.0000  8 Er 3.13
13 Ag 0.0000 0.0000 0.5000  8 Er 3.13
14 Ag 0.0000 0.5000 0.0000  8 Er 3.13
15 Ag 0.5000 0.0000 0.0000  8 Er 3.13
16 Ag 0.5000 0.5000 0.5000  8 Er 3.13